1.
Material: YTiNb3
Method: DFT, PBE
State: optimized geometry

Output
ρ = 6.1 Mg/m³
total magnetic moment = 0.000 μB per atom
energy relative to the elements = 835 meV/atom
polymorph energy (0 for the lowest one) = 0.0 meV per atom

Unit cell a=4.825 b=4.825 c=4.825 alpha=90.00 beta=90.00 gamma=90.00
Element x y z (fractional)
Y: 0.500 0.500 0.500
Nb: 0.000 0.500 0.000
Nb: 0.000 0.000 0.500
Nb: 0.500 0.000 0.000
Ti: 0.000 0.000 0.000

=====

2.
Material: YTi2Nb2
Method: DFT, PBE
State: optimized geometry

Output
ρ = 6.0 Mg/m³
total magnetic moment = 0.000 μB per atom
energy relative to the elements = 219 meV/atom
polymorph energy (0 for the lowest one) = 32.0 meV per atom

Unit cell a=7.982 b=7.982 c=3.210 alpha=90.00 beta=90.00 gamma=90.00
Element x y z (fractional)
Y: 0.000 0.000 0.000
Y: 0.500 0.500 0.000
Nb: 0.357 0.857 0.000
Nb: 0.857 0.643 0.000
Nb: 0.643 0.143 0.000
Nb: 0.143 0.357 0.000
Ti: 0.140 0.640 0.500
Ti: 0.640 0.860 0.500
Ti: 0.860 0.360 0.500
Ti: 0.360 0.140 0.500

=====

3.
Material: Y3TiNb
Method: DFT, PBE
State: optimized geometry

Output
ρ = 4.4 Mg/m³
total magnetic moment = 0.471 μB per atom
energy relative to the elements = 869 meV/atom
polymorph energy (0 for the lowest one) = 0.0 meV per atom

Unit cell a=5.371 b=5.371 c=5.371 alpha=90.00 beta=90.00 gamma=90.00
Element x y z (fractional)
Y: 0.000 0.500 0.000
Y: 0.000 0.000 0.500
Y: 0.500 0.000 0.000
Nb: 0.000 0.000 0.000
Ti: 0.500 0.500 0.500

=====

4.
Material: Y3TiNb
Method: DFT, PBE
State: optimized geometry

Output
ρ = 4.8 Mg/m³
total magnetic moment = 0.045 μB per atom
energy relative to the elements = 1092 meV/atom
polymorph energy (0 for the lowest one) = 223.0 meV per atom

Unit cell a=5.218 b=5.218 c=5.218 alpha=90.00 beta=90.00 gamma=90.00
Element x y z (fractional)
Y: 0.000 0.500 0.000
Y: 0.000 0.000 0.500
Y: 0.500 0.000 0.000
Nb: 0.500 0.500 0.500
Ti: 0.000 0.000 0.000

=====

5.
Material: YTi2Nb
Method: DFT, PBE
State: optimized geometry

Output
ρ = 5.7 Mg/m³
total magnetic moment = 0.184 μB per atom
energy relative to the elements = 277 meV/atom
polymorph energy (0 for the lowest one) = 181.2 meV per atom

Unit cell a=4.843 b=4.843 c=4.843 alpha=60.00 beta=60.00 gamma=60.00
Element x y z (fractional)
Y: 0.000 0.000 0.000
Nb: 0.500 0.500 0.500
Ti: 0.250 0.250 0.250
Ti: 0.750 0.750 0.750

=====

6.
Material: Y2TiNb2
Method: DFT, PBE
State: optimized geometry

Output
ρ = 5.8 Mg/m³
total magnetic moment = 0.000 μB per atom
energy relative to the elements = 333 meV/atom

Unit cell a=6.861 b=6.861 c=4.993 alpha=90.00 beta=90.00 gamma=90.00
Element x y z (fractional)
Y: 0.171 0.671 0.500
Y: 0.671 0.829 0.500
Y: 0.829 0.329 0.500
Y: 0.329 0.171 0.500
Nb: 0.362 0.862 0.000
Nb: 0.862 0.638 0.000
Nb: 0.638 0.138 0.000
Nb: 0.138 0.362 0.000
Ti: 0.000 0.000 0.000
Ti: 0.500 0.500 0.000

=====

7.
Material: YTi2Nb
Method: DFT, PBE
State: optimized geometry

Output
ρ = 5.4 Mg/m³
total magnetic moment = 0.000 μB per atom
energy relative to the elements = 671 meV/atom
polymorph energy (0 for the lowest one) = 575.0 meV per atom

Unit cell a=4.171 b=4.171 c=10.306 alpha=78.32 beta=78.32 gamma=90.00
Element x y z (fractional)
Y: 0.500 0.500 0.000
Y: 0.250 0.750 0.500
Nb: 0.000 0.000 0.000
Nb: 0.750 0.250 0.500
Ti: 0.648 0.125 0.250
Ti: 0.102 0.625 0.250
Ti: 0.375 0.352 0.750
Ti: 0.875 0.898 0.750

=====

8.
Material: YTiNb3
Method: DFT, PBE
State: optimized geometry

Output
ρ = 5.8 Mg/m³
total magnetic moment = 0.000 μB per atom
energy relative to the elements = 1992 meV/atom
polymorph energy (0 for the lowest one) = 1156.9 meV per atom

Unit cell a=4.910 b=4.910 c=4.910 alpha=90.00 beta=90.00 gamma=90.00
Element x y z (fractional)
Y: 0.000 0.000 0.000
Nb: 0.000 0.500 0.000
Nb: 0.000 0.000 0.500
Nb: 0.500 0.000 0.000
Ti: 0.500 0.500 0.500

=====

9.
Material: YTi2Nb
Method: DFT, PBE
State: optimized geometry

Output
ρ = 5.5 Mg/m³
total magnetic moment = 0.000 μB per atom
energy relative to the elements = 96 meV/atom
polymorph energy (0 for the lowest one) = 0.0 meV per atom

Unit cell a=3.462 b=3.462 c=6.972 alpha=90.00 beta=90.00 gamma=90.00
Element x y z (fractional)
Y: 0.500 0.500 0.500
Nb: 0.500 0.500 0.000
Ti: 0.000 0.000 0.804
Ti: 0.000 0.000 0.196

=====

10.
Material: TiNbZn
Method: DFT, PBE
State: optimized geometry

Output
ρ = 6.8 Mg/m³
total magnetic moment = 0.154 μB per atom
energy relative to the elements = -77 meV/atom
polymorph energy (0 for the lowest one) = 2.0 meV per atom

Unit cell a=3.637 b=4.210 c=13.110 alpha=90.00 beta=90.00 gamma=90.00
Element x y z (fractional)
Nb: 0.000 0.000 0.257
Nb: 0.000 0.500 0.757
Nb: 0.500 0.000 0.757
Nb: 0.500 0.500 0.257
Zn: 0.000 0.000 0.924
Zn: 0.000 0.500 0.424
Zn: 0.500 0.000 0.424
Zn: 0.500 0.500 0.924
Ti: 0.000 0.000 0.587
Ti: 0.000 0.500 0.087
Ti: 0.500 0.000 0.087
Ti: 0.500 0.500 0.587

=====

11.
Material: TiNbZn
Method: DFT, PBE
State: optimized geometry

Output
ρ = 6.8 Mg/m³
total magnetic moment = 0.000 μB per atom
energy relative to the elements = -77 meV/atom
polymorph energy (0 for the lowest one) = 1.5 meV per atom

Unit cell a=3.293 b=3.294 c=9.290 alpha=90.00 beta=89.98 gamma=90.00
Element x y z (fractional)
Ti: 0.872 0.291 0.502
Ti: 0.373 0.791 0.011
Nb: 0.873 0.291 0.844
Nb: 0.372 0.791 0.668
Zn: 0.872 0.291 0.180
Zn: 0.372 0.791 0.333